A) DFT (GGA-PBE) results for an optimized crystal structure of CrCoOs.

Structure (POSCAR):
```
CrCoOs
1.0
-1.1977 -3.8402 0.3674
1.9349 1.2018 -3.3360
2.2655 -0.6016 1.0973
Co Os Cr
1 1 1
Cartesian
0.3775 -0.1002 0.1828 Co
2.4012 -0.8800 -1.3699 Os
0.2239 -2.2598 -0.6843 Cr
```

Output
* total magnetic moment: 0.000 μB/atom

B) DFT (GGA-PBE) results for an optimized crystal structure of CrCoOs.

Structure (POSCAR):
```
CrCoOs
1.0
2.6311 0.0000 0.0000
-1.3155 2.2786 0.0000
0.0000 0.0000 6.2541
Co Os Cr
1 1 1
Cartesian
0.0000 0.0000 0.0711 Co
1.3155 0.7595 4.1418 Os
0.0000 1.5191 2.0411 Cr
```

Output
* total magnetic moment: 0.347 μB/atom

C) DFT (GGA-PBE) results for an optimized crystal structure of CrCoOs.

Structure (POSCAR):
```
CrCoOs
1.0
-3.7294 0.8610 4.4559
-4.7885 -5.0211 0.8343
0.9754 -4.2000 5.4997
Co Cr Os
6 6 6
Cartesian
-2.6518 -5.6670 3.6317 Co
-4.5399 -8.0564 6.3850 Co
-0.1250 -0.9681 0.9668 Co
-2.0131 -3.3574 3.7200 Co
-1.8652 0.4306 2.2286 Co
-3.7717 -4.1799 5.3956 Co
-2.7292 -1.1291 3.7895 Cr
-4.8472 -5.7698 6.7852 Cr
-4.2820 -4.0809 3.0258 Cr
-4.6059 -2.1492 6.2876 Cr
-1.4087 -4.7067 5.5516 Cr
-6.7240 -6.7899 9.2834 Cr
-3.5054 -3.8968 7.9994 Os
-2.1764 -2.2513 6.0679 Os
-6.3841 -3.9215 5.5948 Os
-5.3487 -1.9332 3.9656 Os
-5.0875 -6.1731 4.3892 Os
-2.5069 -6.3547 7.1984 Os
```

Output
* total magnetic moment: 0.000 μB/atom

D) DFT (GGA-PBE) results for an optimized crystal structure of CrCoOs.

Structure (POSCAR):
```
CrCoOs
1.0
3.9098 0.0000 0.0000
1.9549 3.3860 0.0000
1.9549 1.1287 3.1923
Co Os Cr
1 1 1
Cartesian
3.9098 2.2573 1.5962 Co
0.0000 0.0000 0.0000 Os
5.8647 3.3860 2.3942 Cr
```

Output
* total magnetic moment: 0.000 μB/atom

Energy above the most stable structure, in kJ/mol of atoms: A) 0.0; B) 10.8; C) 18.6; D) 43.9

A) DFT (GGA-PBE) results for an optimized crystal structure of CrCoOs.

Structure (POSCAR):
```
CrCoOs
1.0
4.4789 0.0032 -0.0032
2.2121 3.8945 0.0032
-2.9598 -2.6110 2.1173
Co Os Cr
1 1 1
Cartesian
6.6857 3.8946 0.0000 Co
4.4551 2.5952 0.0000 Os
2.2411 1.3055 0.0000 Cr
```

Output
* total magnetic moment: 0.331 μB/atom

B) DFT (GGA-PBE) results for an optimized crystal structure of CrCoOs.

Structure (POSCAR):
```
CrCoOs
1.0
6.5383 -0.0018 0.0013
5.8437 2.4784 0.0036
0.6946 -0.7985 2.3481
Cr Co Os
1 1 1
Cartesian
4.6378 0.3065 1.5576 Cr
12.3002 2.4537 0.0213 Co
8.5205 1.3945 0.7791 Os
```

Output
* total magnetic moment: 0.587 μB/atom

C) DFT (GGA-PBE) results for an optimized crystal structure of CrCoOs.

Structure (POSCAR):
```
CrCoOs
1.0
-1.2561 -0.9320 -4.5675
-4.0196 -2.0737 -1.6886
1.7319 3.3655 2.9971
Co Os Cr
1 1 1
Cartesian
-5.2159 -2.9717 -6.1851 Co
-3.5523 -2.0239 -4.2124 Os
-1.7832 -1.0159 -2.1145 Cr
```

Output
* total magnetic moment: 0.904 μB/atom

Energy above the most stable structure, in kJ/mol of atoms: A) 0.0; B) 22.6; C) 6.8